Entry 1:
The following is a DFT calculation (GGA-PBE) of CrCuSe2 after structural relaxation.

The space group is I-4m2 (No. 119) and the conventional cell measures 3.513, 3.513 and 14.009 Å, with angles of 90.00, 90.00 and 90.00 degrees. The distinct sites, in fractional coordinates, are Cr at (0.000, 0.000, 0.000), Cu at (0.000, 0.500, 0.750), Se at (0.000, 0.000, 0.500) and Se at (0.000, 0.500, 0.250).

As for the energy above the most stable polymorph in this dataset: 170 kJ/mol of formula units. The total energy comes out at -5.101 eV per atom. For the energy relative to the elements, uncorrected, the calculation gives 0.28 eV/f.u. Its spin magnetization is 0.903 μB/atom.

Entry 2:
The following is a DFT calculation (GGA-PBE) of VWS2 after structural relaxation.

The space group is R-3m (No. 166, hexagonal axes) and the conventional cell measures 2.9658, 2.9658 and 23.8871 Å, with angles of 90.00, 90.00 and 120.00 degrees. The distinct sites, in fractional coordinates, are V at (0.0000, 0.0000, 0.0000), W at (0.0000, 0.0000, 0.5000) and S at (0.0000, 0.0000, 0.3997).

As for the energy above the most stable polymorph in this dataset: 0 kJ/mol of formula units. The total energy comes out at -7.846 eV per atom. For the energy relative to the elements, uncorrected, the calculation gives -1.06 eV/f.u. Its spin magnetization is 0.029 μB/atom.

Entry 3:
The following is a DFT calculation (GGA-PBE) of TbPm3Er4 after structural relaxation.

The space group is Pmn2_1 (No. 31) and the conventional cell measures 11.380, 7.283 and 6.277 Å, with angles of 90.00, 90.00 and 90.00 degrees. The distinct sites, in fractional coordinates, are Tb at (0.000, 0.129, 0.000), Pm at (0.000, 0.873, 0.500), Pm at (0.250, 0.127, 0.335), Er at (0.000, 0.378, 0.501), Er at (0.000, 0.622, 0.001) and Er at (0.249, 0.378, 0.834).

As for the energy above the most stable polymorph in this dataset: 0 kJ/mol of formula units. Its formation energy is 1.9 kJ per mole of atoms. The total energy comes out at -4.622 eV per atom. Its spin magnetization is 0.000 μB/atom.

Entry 4:
The following is a DFT calculation (GGA-PBE) of CeBeRu2 after structural relaxation.

The space group is P4/mmm (No. 123) and the conventional cell measures 4.158, 4.158 and 3.609 Å, with angles of 90.00, 90.00 and 90.00 degrees. The distinct sites, in fractional coordinates, are Ce at (0.000, 0.000, 0.000), Be at (0.500, 0.500, 0.000) and Ru at (0.000, 0.500, 0.500).

As for the energy above the most stable polymorph in this dataset: 0 kJ/mol of formula units. Its formation energy is -12.9 kJ per mole of atoms. The total energy comes out at -7.187 eV per atom. Its spin magnetization is 0.000 μB/atom.

Entry 5:
The following is a DFT calculation (GGA-PBE) of RbNa2Co after structural relaxation.

The space group is I-42d (No. 122) and the conventional cell measures 5.035, 5.035 and 23.596 Å, with angles of 90.00, 90.00 and 90.00 degrees. The distinct sites, in fractional coordinates, are Rb at (0.000, 0.000, 0.000), Na at (0.192, 0.250, 0.625) and Co at (0.000, 0.000, 0.500).

As for the energy above the most stable polymorph in this dataset: 25 kJ/mol of formula units. Its formation energy is 82.2 kJ per mole of atoms. The total energy comes out at -1.826 eV per atom. Its spin magnetization is 0.473 μB/atom.

Entry 6:
The following is a DFT calculation (GGA-PBE) of Sc2Mn2Ir after structural relaxation.

The space group is I4/mmm (No. 139) and the conventional cell measures 3.168, 3.168 and 16.138 Å, with angles of 90.00, 90.00 and 90.00 degrees. The distinct sites, in fractional coordinates, are Sc at (0.000, 0.000, 0.104), Mn at (0.000, 0.500, 0.250) and Ir at (0.000, 0.000, 0.500).

As for the energy above the most stable polymorph in this dataset: 0 kJ/mol of formula units. Its formation energy is -16.3 kJ per mole of atoms. The total energy comes out at -8.141 eV per atom. Its spin magnetization is 0.000 μB/atom.

Entry 7:
The following is a DFT calculation (GGA-PBE) of MnGaNiIr after structural relaxation.

The space group is F-43m (No. 216) and the conventional cell measures 5.981, 5.981 and 5.981 Å, with angles of 90.00, 90.00 and 90.00 degrees. The distinct sites, in fractional coordinates, are Mn at (0.000, 0.000, 0.000), Ga at (0.000, 0.000, 0.500), Ni at (0.250, 0.250, 0.250) and Ir at (0.250, 0.250, 0.750).

Its formation energy is -30.1 kJ per mole of atoms. The total energy comes out at -7.021 eV per atom. Its spin magnetization is 1.060 μB/atom.

Entry 8:
The following is a DFT calculation (GGA-PBE) of DyHoZn2 after structural relaxation.

The space group is P4/mmm (No. 123) and the conventional cell measures 5.021, 5.021 and 3.581 Å, with angles of 90.00, 90.00 and 90.00 degrees. The distinct sites, in fractional coordinates, are Dy at (0.000, 0.000, 0.000), Ho at (0.500, 0.500, 0.000) and Zn at (0.000, 0.500, 0.500).

Its formation energy is -33.1 kJ per mole of atoms. The total energy comes out at -3.275 eV per atom. Its spin magnetization is 0.000 μB/atom.

Entry 9:
The following is a DFT calculation (GGA-PBE) of BaMg2Tl after structural relaxation.

The space group is P4/mmm (No. 123) and the conventional cell measures 3.864, 3.864 and 8.540 Å, with angles of 90.00, 90.00 and 90.00 degrees. The distinct sites, in fractional coordinates, are Ba at (0.000, 0.000, 0.000), Mg at (0.500, 0.500, 0.305) and Tl at (0.000, 0.000, 0.500).

As for the energy above the most stable polymorph in this dataset: 51 kJ/mol of formula units. Its formation energy is -5.2 kJ per mole of atoms. The total energy comes out at -1.924 eV per atom. Its spin magnetization is 0.000 μB/atom.

Entry 10:
The following is a DFT calculation (GGA-PBE) of BiAuSe2N after structural relaxation.

The space group is P4/mmm (No. 123) and the conventional cell measures 5.353, 5.353 and 3.847 Å, with angles of 90.00, 90.00 and 90.00 degrees. The distinct sites, in fractional coordinates, are Bi at (0.000, 0.000, 0.000), Au at (0.500, 0.500, 0.500), Se at (0.000, 0.500, 0.500) and N at (0.500, 0.500, 0.000).

As for the energy above the most stable polymorph in this dataset: 0 kJ/mol of formula units. The total energy comes out at -3.719 eV per atom. For the energy relative to the elements, uncorrected, the calculation gives 3.86 eV/f.u. Its spin magnetization is 0.000 μB/atom.

Entry 11:
The following is a DFT calculation (GGA-PBE) of Ho2GaSi3Ni4 after structural relaxation.

The space group is P-4m2 (No. 115) and the conventional cell measures 3.973, 3.973 and 9.598 Å, with angles of 90.00, 90.00 and 90.00 degrees. The distinct sites, in fractional coordinates, are Ho at (0.000, 0.500, 0.248), Ga at (0.000, 0.000, 0.500), Si at (0.000, 0.500, 0.874), Si at (0.500, 0.500, 0.500), Ni at (0.000, 0.000, 0.000), Ni at (0.000, 0.500, 0.637) and Ni at (0.500, 0.500, 0.000).

The total energy comes out at -5.954 eV per atom. For the energy relative to the elements, uncorrected, the calculation gives -7.96 eV/f.u. Its spin magnetization is 0.000 μB/atom.

Entry 12:
The following is a DFT calculation (GGA-PBE) of TaV3Tc after structural relaxation.

The space group is P2_1/m (No. 11) and the conventional cell measures 5.162, 5.142 and 5.674 Å, with angles of 90.00, 90.08 and 90.00 degrees. The distinct sites, in fractional coordinates, are Ta at (0.133, 0.250, 0.362), V at (0.357, 0.003, 0.821), V at (0.368, 0.750, 0.449) and Tc at (0.080, 0.750, 0.106).

As for the energy above the most stable polymorph in this dataset: 29 kJ/mol of formula units. Its formation energy is 6.1 kJ per mole of atoms. The total energy comes out at -9.852 eV per atom. Its spin magnetization is 0.000 μB/atom.